# Ta2CdSe4I2 (PBE-GGA, relaxed)
data_Ta2CdSe4I2
_chemical_formula_sum 'Ta2 Cd1 Se4 I2'
_space_group_name_H-M_alt 'P 3 m 1'
_space_group_IT_number 156
_space_group_name_Hall 'P 3 -2"'
_cell_length_a 3.6477
_cell_length_b 3.6477
_cell_length_c 22.3996
_cell_angle_alpha 90.00
_cell_angle_beta 90.00
_cell_angle_gamma 120.00
loop_
_atom_site_label
_atom_site_type_symbol
_atom_site_fract_x
_atom_site_fract_y
_atom_site_fract_z
Ta1 Ta 0.0000 0.0000 0.0000
Ta2 Ta 0.3333 0.6667 0.3106
Cd1 Cd 0.3333 0.6667 0.6666
Se1 Se 0.0000 0.0000 0.2383
Se2 Se 0.0000 0.0000 0.3834
Se3 Se 0.3333 0.6667 0.0724
Se4 Se 0.3333 0.6667 0.9273
I1 I 0.0000 0.0000 0.5742
I2 I 0.0000 0.0000 0.7589
# Energy relative to the elements, uncorrected: -0.535 eV per atom
# DFT total energy: -5.16 eV per atom